Computed, not measured: SnSb2TeF after structural relaxation at the GGA-PBE level of DFT.

Geometry as POSCAR:
```
SnSb2TeF
1.0
4.8133 0.0000 0.0000
0.0000 4.8133 0.0000
0.0000 0.0000 5.6264
Sn Sb Te F
1 2 1 1
Direct
0.5000 0.5000 0.5000
0.0000 0.5000 0.0000
0.5000 0.0000 0.0000
0.0000 0.0000 0.5000
0.0000 0.0000 0.0000
```

Values from the calculation:
Raw formation energy: -0.1466 eV per atom
Relative energy among the computed polymorphs: 0.0 kJ per mole of atoms
ρ: 6.48 g/cm³
D(E_F): 1.83 states/eV/cell
Electronic total energy: -3.599 eV/atom
Symmetry: P4/mmm, No. 123

---

Computed, not measured: ZnSnSb2F after structural relaxation at the GGA-PBE level of DFT.

Geometry as POSCAR:
```
ZnSnSb2F
1.0
5.7069 0.0000 0.0000
0.0000 5.0872 0.0000
0.0000 0.0000 5.7069
Sb F Zn Sn
2 1 1 1
Direct
0.5000 0.0000 0.0000
0.0000 0.0000 0.5000
0.5000 0.5000 0.5000
0.0000 0.5000 0.0000
0.0000 0.0000 0.0000
```

Values from the calculation:
Raw formation energy: 0.4538 eV per atom
ρ: 4.48 g/cm³
D(E_F): 6.40 states/eV/cell
Electronic total energy: -2.625 eV/atom
Symmetry: P4/mmm, No. 123

---

Computed, not measured: SrSbF6 after structural relaxation at the GGA-PBE level of DFT.

Geometry as POSCAR:
```
SrSbF6
1.0
4.9275 0.6271 0.0777
-1.2511 4.8071 0.0777
-0.5834 -0.8624 4.8613
Sb F Sr
1 6 1
Direct
0.5000 0.5000 0.5000
0.2014 0.2014 0.5700
0.4328 0.7989 0.7982
0.5672 0.2011 0.2018
0.2011 0.5672 0.2018
0.7989 0.4328 0.7982
0.7986 0.7986 0.4300
0.0000 0.0000 0.0000
```

Values from the calculation:
Raw formation energy: -2.8203 eV per atom
Relative energy among the computed polymorphs: 1.2 kJ per mole of atoms
ρ: 4.49 g/cm³
D(E_F): 3.31 states/eV/cell
Electronic total energy: -4.949 eV/atom
Symmetry: C2/m, No. 12

---

Computed, not measured: SrSbF3 after structural relaxation at the GGA-PBE level of DFT.

Geometry as POSCAR:
```
SrSbF3
1.0
4.7616 0.0000 0.0000
0.0000 4.7616 0.0000
0.0000 0.0000 4.7616
Sr F Sb
1 3 1
Direct
0.0000 0.0000 0.0000
0.0000 0.0000 0.5000
0.5000 0.0000 0.0000
0.0000 0.5000 0.0000
0.5000 0.5000 0.5000
```

Values from the calculation:
Raw formation energy: -2.2217 eV per atom
Relative energy among the computed polymorphs: 0.0 kJ per mole of atoms
ρ: 4.10 g/cm³
D(E_F): 6.63 states/eV/cell
Electronic total energy: -4.505 eV/atom
Symmetry: Pm-3m, No. 221

---

Computed, not measured: Sr6Sb3F after structural relaxation at the GGA-PBE level of DFT.

Geometry as POSCAR:
```
Sr6Sb3F
1.0
-2.2601 -1.7630 7.1212
-4.3829 -8.4964 -3.4945
9.4134 -3.1884 2.1982
Sr Sb F
12 6 2
Direct
0.6802 0.5774 0.1082
0.6802 0.8918 0.4226
0.1953 0.7773 0.2227
0.6940 0.6389 0.6858
0.6546 0.9540 0.0460
0.1802 0.4226 0.8918
0.1940 0.6858 0.6389
0.6940 0.3142 0.3611
0.1802 0.1082 0.5774
0.1546 0.0460 0.9540
0.1940 0.3611 0.3142
0.6953 0.2227 0.7773
0.9738 0.7200 0.9329
0.4084 0.3876 0.6124
0.4738 0.2800 0.0671
0.9738 0.0671 0.2800
0.9084 0.6124 0.3876
0.4738 0.9329 0.7200
0.5309 0.8046 0.1954
0.0309 0.1954 0.8046
```

Values from the calculation:
Raw formation energy: -1.2779 eV per atom
ρ: 3.89 g/cm³
D(E_F): 10.92 states/eV/cell
Electronic total energy: -3.711 eV/atom
Symmetry: Cmc2_1, No. 36

---

Computed, not measured: Sr2SbF after structural relaxation at the GGA-PBE level of DFT.

Geometry as POSCAR:
```
Sr2SbF
1.0
0.0000 3.8671 3.8671
3.8671 0.0000 3.8671
3.8671 3.8671 0.0000
Sb Sr F
1 2 1
Direct
0.5000 0.5000 0.5000
0.2500 0.2500 0.2500
0.7500 0.7500 0.7500
0.0000 0.0000 0.0000
```

Values from the calculation:
Raw formation energy: -1.7493 eV per atom
Relative energy among the computed polymorphs: 21.8 kJ per mole of atoms
ρ: 4.54 g/cm³
D(E_F): 0.00 states/eV/cell
Electronic total energy: -4.089 eV/atom
Symmetry: Fm-3m, No. 225

---

Computed, not measured: Sr2SbF after structural relaxation at the GGA-PBE level of DFT.

Geometry as POSCAR:
```
Sr2SbF
1.0
-1.9263 4.2293 4.3113
0.6342 -4.6105 4.8061
13.0806 4.1351 1.7880
F Sr Sb
4 8 4
Direct
0.8199 0.0747 0.0623
0.1801 0.5747 0.5623
0.8199 0.4253 0.4377
0.1801 0.9253 0.9377
0.7456 0.0759 0.4082
0.8211 0.0046 0.8803
0.1789 0.9954 0.1197
0.7456 0.4241 0.0918
0.1789 0.5046 0.3803
0.2544 0.9241 0.5918
0.2544 0.5759 0.9082
0.8211 0.4954 0.6197
0.2464 0.4965 0.1399
0.7536 0.9965 0.6399
0.2464 0.0035 0.3601
0.7536 0.5035 0.8601
```

Values from the calculation:
Raw formation energy: -1.9757 eV per atom
Relative energy among the computed polymorphs: 0.0 kJ per mole of atoms
ρ: 3.58 g/cm³
Electronic total energy: -4.315 eV/atom
Symmetry: P2/c, No. 13

---

Computed, not measured: SrSbF3 after structural relaxation at the GGA-PBE level of DFT.

Geometry as POSCAR:
```
SrSbF3
1.0
-1.1243 -2.6713 -3.7890
2.4062 -3.6688 1.8726
-3.9626 -1.4699 2.2121
F Sb Sr
3 1 1
Direct
0.5000 0.0000 0.0000
0.0000 0.5000 0.0000
0.0000 0.0000 0.5000
0.0000 0.0000 0.0000
0.5000 0.5000 0.5000
```

Values from the calculation:
Raw formation energy: -1.8881 eV per atom
Relative energy among the computed polymorphs: 32.2 kJ per mole of atoms
ρ: 4.07 g/cm³
D(E_F): 3.23 states/eV/cell
Electronic total energy: -4.172 eV/atom
Symmetry: Pm-3m, No. 221

---

Computed, not measured: Sr2SbF after structural relaxation at the GGA-PBE level of DFT.

Geometry as POSCAR:
```
Sr2SbF
1.0
-2.5260 2.7549 -2.8316
-4.0095 1.8886 1.5316
0.9766 6.5680 1.6362
F Sb Sr
1 1 2
Direct
0.0000 0.0000 0.0000
0.5000 0.5000 0.5000
0.7421 0.7421 0.7737
0.2579 0.2579 0.2263
```

Values from the calculation:
Raw formation energy: -1.8115 eV per atom
Relative energy among the computed polymorphs: 15.8 kJ per mole of atoms
ρ: 4.39 g/cm³
Electronic total energy: -4.151 eV/atom
Symmetry: R-3m, No. 166

---

Computed, not measured: Sr2SbF2 after structural relaxation at the GGA-PBE level of DFT.

Geometry as POSCAR:
```
Sr2SbF2
1.0
-0.5083 2.7501 -2.7518
0.7165 -2.6615 -2.7923
-7.4116 -1.6753 -0.3051
Sr Sb F
2 1 2
Direct
0.5000 0.5000 0.2870
0.5000 0.5000 0.7130
0.0000 0.0000 0.0000
0.5000 0.0000 0.5000
0.0000 0.5000 0.5000
```

Values from the calculation:
Raw formation energy: -2.5717 eV per atom
ρ: 4.75 g/cm³
D(E_F): 1.30 states/eV/cell
Electronic total energy: -4.817 eV/atom
Symmetry: P4/mmm, No. 123

---

Computed, not measured: SrSbF6 after structural relaxation at the GGA-PBE level of DFT.

Geometry as POSCAR:
```
SrSbF6
1.0
5.4018 0.4487 -0.7984
-1.1708 4.7371 -1.6017
0.2170 0.0093 5.1312
F Sr Sb
6 1 1
Direct
0.6766 0.2271 0.2271
0.2466 0.4896 0.1675
0.3234 0.7729 0.7729
0.7534 0.8325 0.5104
0.7534 0.5104 0.8325
0.2466 0.1675 0.4896
0.0000 0.0000 0.0000
0.5000 0.5000 0.5000
```

Values from the calculation:
Raw formation energy: -2.8323 eV per atom
Relative energy among the computed polymorphs: 0.0 kJ per mole of atoms
ρ: 3.98 g/cm³
D(E_F): 3.09 states/eV/cell
Electronic total energy: -4.961 eV/atom
Symmetry: C2/m, No. 12

---

Computed, not measured: Sr2Sb2F after structural relaxation at the GGA-PBE level of DFT.

Geometry as POSCAR:
```
Sr2Sb2F
1.0
7.5637 0.0000 0.0000
0.0000 7.5637 0.0000
0.0000 0.0000 5.2213
Sb Sr F
4 4 2
Direct
0.3697 0.1303 0.5000
0.8697 0.3697 0.5000
0.1303 0.6303 0.5000
0.6303 0.8697 0.5000
0.8177 0.6823 0.0000
0.1823 0.3177 0.0000
0.3177 0.8177 0.0000
0.6823 0.1823 0.0000
0.0000 0.0000 0.0000
0.5000 0.5000 0.0000
```

Values from the calculation:
Raw formation energy: -1.5145 eV per atom
ρ: 4.87 g/cm³
D(E_F): 3.02 states/eV/cell
Electronic total energy: -4.210 eV/atom
Symmetry: P4/mbm, No. 127

---

Computed, not measured: Sr2SbF after structural relaxation at the GGA-PBE level of DFT.

Geometry as POSCAR:
```
Sr2SbF
1.0
-6.2132 1.6586 -0.3013
-0.8120 -1.9360 6.0859
-1.9664 6.0485 5.0667
Sr F Sb
4 2 2
Direct
0.5429 0.1250 0.2500
0.3750 0.4571 0.7500
0.8750 0.7929 0.7500
0.2071 0.6250 0.2500
0.5000 0.5000 0.0000
0.2500 0.7500 0.5000
0.0000 0.0000 0.0000
0.7500 0.2500 0.5000
```

Values from the calculation:
Raw formation energy: -1.7930 eV per atom
Relative energy among the computed polymorphs: 17.6 kJ per mole of atoms
ρ: 3.76 g/cm³
D(E_F): 0.00 states/eV/cell
Electronic total energy: -4.132 eV/atom
Symmetry: I-42d, No. 122

---

Computed, not measured: SrSb2TeF after structural relaxation at the GGA-PBE level of DFT.

Geometry as POSCAR:
```
SrSb2TeF
1.0
4.8412 0.0000 0.0000
0.0000 4.8412 0.0000
0.0000 0.0000 5.7693
Sb Sr F Te
2 1 1 1
Direct
0.0000 0.5000 0.0000
0.5000 0.0000 0.0000
0.5000 0.5000 0.5000
0.0000 0.0000 0.0000
0.0000 0.0000 0.5000
```

Values from the calculation:
Raw formation energy: -0.7586 eV per atom
Relative energy among the computed polymorphs: 0.0 kJ per mole of atoms
ρ: 5.87 g/cm³
D(E_F): 1.94 states/eV/cell
Electronic total energy: -3.746 eV/atom
Symmetry: P4/mmm, No. 123

---

Computed, not measured: SrSb2TeF after structural relaxation at the GGA-PBE level of DFT.

Geometry as POSCAR:
```
SrSb2TeF
1.0
6.1351 0.0000 0.0000
0.0000 6.1351 0.0000
0.0000 0.0000 5.9606
Te Sb F Sr
1 2 1 1
Direct
0.0000 0.0000 0.5000
0.5000 0.0000 0.0000
0.0000 0.5000 0.0000
0.5000 0.5000 0.5000
0.0000 0.0000 0.0000
```

Values from the calculation:
Raw formation energy: 0.4351 eV per atom
Relative energy among the computed polymorphs: 115.2 kJ per mole of atoms
ρ: 3.54 g/cm³
D(E_F): 11.00 states/eV/cell
Electronic total energy: -2.553 eV/atom
Symmetry: P4/mmm, No. 123

---

Computed, not measured: SrSb2TeF after structural relaxation at the GGA-PBE level of DFT.

Geometry as POSCAR:
```
SrSb2TeF
1.0
5.8567 0.0000 0.0000
0.0000 4.5337 0.0000
0.0000 0.0000 5.8567
F Te Sr Sb
1 1 1 2
Direct
0.0000 0.5000 0.0000
0.0000 0.0000 0.0000
0.5000 0.5000 0.5000
0.5000 0.0000 0.0000
0.0000 0.0000 0.5000
```

Values from the calculation:
Raw formation energy: -0.6031 eV per atom
Relative energy among the computed polymorphs: 15.0 kJ per mole of atoms
ρ: 5.10 g/cm³
D(E_F): 2.69 states/eV/cell
Electronic total energy: -3.591 eV/atom
Symmetry: P4/mmm, No. 123

---

Computed, not measured: SrSbTe2F after structural relaxation at the GGA-PBE level of DFT.

Geometry as POSCAR:
```
SrSbTe2F
1.0
5.6845 0.0000 0.0000
0.0000 5.6845 0.0000
0.0000 0.0000 4.3904
Sr Te Sb F
1 2 1 1
Direct
0.5000 0.5000 0.5000
0.5000 0.0000 0.0000
0.0000 0.5000 0.0000
0.0000 0.0000 0.5000
0.0000 0.0000 0.0000
```

Values from the calculation:
Raw formation energy: -0.8310 eV per atom
ρ: 5.66 g/cm³
D(E_F): 3.55 states/eV/cell
Electronic total energy: -3.623 eV/atom
Symmetry: P4/mmm, No. 123

---

Computed, not measured: SrTlSbF6 after structural relaxation at the GGA-PBE level of DFT.

Geometry as POSCAR:
```
SrTlSbF6
1.0
6.5926 0.0004 -0.0097
3.2984 5.6994 0.0136
0.0073 -0.0140 3.9500
F Sb Tl Sr
6 1 1 1
Direct
0.2881 0.5988 0.3149
0.1139 0.2883 0.3142
0.5985 0.1131 0.3144
0.9317 0.6378 0.7644
0.6381 0.4299 0.7643
0.4296 0.9327 0.7642
0.3333 0.3332 0.6438
0.0000 0.9996 0.8520
0.6666 0.6665 0.2678
```

Values from the calculation:
Raw formation energy: -2.7574 eV per atom
ρ: 5.90 g/cm³
D(E_F): 0.00 states/eV/cell
Electronic total energy: -4.913 eV/atom
Symmetry: P1, No. 1

---

Computed, not measured: SrZnSbF after structural relaxation at the GGA-PBE level of DFT.

Geometry as POSCAR:
```
SrZnSbF
1.0
-2.6971 -0.7800 3.3163
-3.1333 -1.0926 -2.8052
2.9365 -9.0737 0.2541
Sr F Zn Sb
2 2 2 2
Direct
0.5000 0.0000 0.1392
0.0000 0.5000 0.8608
0.0000 0.0000 0.0000
0.5000 0.5000 0.0000
0.0000 0.0000 0.5000
0.5000 0.5000 0.5000
0.0000 0.5000 0.3221
0.5000 0.0000 0.6779
```

Values from the calculation:
Raw formation energy: -1.7783 eV per atom
ρ: 5.42 g/cm³
D(E_F): 1.59 states/eV/cell
Electronic total energy: -4.016 eV/atom
Symmetry: P4/nmm, No. 129

---

Computed, not measured: TaSb3F after structural relaxation at the GGA-PBE level of DFT.

Geometry as POSCAR:
```
TaSb3F
1.0
5.2853 0.0000 0.0000
0.0000 5.2853 0.0000
0.0000 0.0000 5.2853
Sb Ta F
3 1 1
Direct
0.0000 0.5000 0.0000
0.5000 0.0000 0.0000
0.0000 0.0000 0.5000
0.0000 0.0000 0.0000
0.5000 0.5000 0.5000
```

Values from the calculation:
Raw formation energy: -0.0025 eV per atom
Relative energy among the computed polymorphs: 0.0 kJ per mole of atoms
ρ: 6.36 g/cm³
D(E_F): 3.83 states/eV/cell
Electronic total energy: -5.221 eV/atom
Symmetry: Pm-3m, No. 221